# 1
Pm2PrNdHo: optimized geometry, PBE.

## Properties
space-group type	Cmcm, No. 63
mass density	6.77	g cm⁻³
total DFT energy (no corrections)	-21.7	eV per formula unit
Fermi-level density of states	17.14	states/eV per cell

Cell: 7.227 8.499 7.282 Å, 125.70 90.00 90.00°
Atoms (fractional coordinates):
Pr: 0.750 0.269 0.537
Nd: 0.750 0.005 0.011
Ho: 0.250 0.272 0.545
Pm: 0.500 0.313 0.000
Ho: 0.750 0.728 0.455
Nd: 0.250 0.995 0.989
Pr: 0.250 0.731 0.463
Pm: 0.000 0.687 0.000
Pm: 0.000 0.313 0.000
Pm: 0.500 0.687 0.000

# 2
Tb2PmOs: optimized geometry, PBE.

## Properties
space-group type	P4/mmm, No. 123
energy relative to the lowest polymorph listed for this composition	0.100	eV/atom
mass density	9.86	g cm⁻³
Fermi-level density of states	2.61	states/eV per cell

Cell: 3.428 3.428 9.360 Å, 90.00 90.00 90.00°
Atoms (fractional coordinates):
Tb: 0.000 0.000 0.822
Tb: 0.000 0.000 0.178
Os: 0.500 0.500 0.000
Pm: 0.500 0.500 0.500

# 3
MgScNi2: optimized geometry, PBE.

## Properties
space-group type	F-43m, No. 216
mass density	5.14	g cm⁻³
total DFT energy (no corrections)	-19.8	eV per formula unit
Fermi-level density of states	3.38	states/eV per cell

Cell: 4.401 4.401 4.401 Å, 60.00 60.00 60.00°
Atoms (fractional coordinates):
Ni: 0.000 0.000 0.000
Sc: 0.750 0.750 0.750
Ni: 0.250 0.250 0.250
Mg: 0.500 0.500 0.500